DFT (PBE) results for crystalline Co2Ni2Cl at its relaxed geometry.

Lattice parameters (Å, degrees): 3.3235 3.3235 6.5946 75.41 75.41 90.00
Closest atoms and distances in Å follow each position.
Positions (direct):
1 Ni 0.7500 0.2500 0.5000  4 Ni 2.35, 4 Co 2.42
2 Ni 0.2500 0.7500 0.5000  4 Ni 2.35, 4 Co 2.42
3 Co 0.3922 0.3922 0.2155  4 Ni 2.42, 1 Co 2.66, 4 Cl 2.70
4 Co 0.6078 0.6078 0.7845  4 Ni 2.42, 1 Co 2.66, 4 Cl 2.70
5 Cl 0.0000 0.0000 0.0000  8 Co 2.70

=====

DFT (PBE) results for crystalline Co2NiCl at its relaxed geometry.

Lattice parameters (Å, degrees): 4.9445 4.9445 4.9445 147.62 129.02 61.70
Closest atoms and distances in Å follow each position.
Positions (direct):
1 Ni 0.4868 0.4868 0.0000  2 Cl 2.52, 6 Co 2.54-2.73, 2 Ni 2.76
2 Co 0.0110 0.0110 0.0000  2 Cl 2.37, 2 Co 2.51, 4 Ni 2.54
3 Co 0.7644 0.2644 0.5000  4 Co 2.51-2.76, 4 Cl 2.55, 2 Ni 2.73
4 Cl 0.2379 0.7379 0.5000  6 Co 2.37-2.55, 2 Ni 2.52

=====

DFT (PBE) results for crystalline CoNiCl at its relaxed geometry.

Lattice parameters (Å, degrees): 3.9786 3.9786 3.9786 60.00 60.00 60.00
Closest atoms and distances in Å follow each position.
Positions (direct):
1 Ni 0.0000 0.0000 0.0000  4 Co 2.44
2 Co 0.7500 0.7500 0.7500  4 Cl 2.44, 4 Ni 2.44
3 Cl 0.5000 0.5000 0.5000  4 Co 2.44

=====

Number 1: ΔE to the lowest computed polymorph 19.6 meV per atom, raw formation energy 0.493 eV per atom. Number 2: ΔE to the lowest computed polymorph 347.2 meV per atom, raw formation energy 0.565 eV per atom. Number 3: ΔE to the lowest computed polymorph 279.4 meV per atom, raw formation energy 0.601 eV per atom.